The following is a DFT calculation (PBE) of a relaxed structure of YMgCu2.

a = 5.059 Å, b = 5.059 Å, c = 5.059 Å
α = 130.02°, β = 130.02°, γ = 73.38°
Element x y z (fractional)
Cu 0.000 0.000 0.000
Cu 0.250 0.750 0.500
Mg 0.500 0.500 0.000
Y 0.750 0.250 0.500

space group = No. 119
DOS at the Fermi energy = 1.93 states/eV/cell
E_tot = -4.060 eV/atom
crystal system = tetragonal

***

The following is a DFT calculation (PBE) of a relaxed structure of FeB3W.

a = 3.031 Å, b = 3.138 Å, c = 9.071 Å
α = 99.96°, β = 90.00°, γ = 90.00°
Site moments in Bohr magnetons follow the coordinates.
Element x y z (fractional)
Fe 0.250 0.798 0.595  0.23
Fe 0.750 0.202 0.405  0.23
B 0.250 0.370 0.740  -0.01
B 0.750 0.630 0.260  -0.01
B 0.250 0.474 0.949  0.00
B 0.750 0.526 0.051  0.00
B 0.750 0.316 0.632  -0.01
B 0.250 0.684 0.368  -0.01
W 0.250 0.077 0.153  0.00
W 0.750 0.923 0.847  0.00

space group = No. 63
distance to the lowest polymorph of the same formula = 0.0 meV/atom
DOS at the Fermi energy = 5.37 states/eV/cell
E_tot = -8.562 eV/atom
crystal system = orthorhombic

***

The following is a DFT calculation (PBE) of a relaxed structure of LiCa2LaP.

a = 5.227 Å, b = 5.438 Å, c = 5.227 Å
α = 90.00°, β = 90.00°, γ = 90.00°
Element x y z (fractional)
P 0.500 0.500 0.500
Ca 0.000 0.000 0.500
Ca 0.500 0.000 0.000
Li 0.000 0.000 0.000
La 0.000 0.500 0.000

space group = No. 123
DOS at the Fermi energy = 5.04 states/eV/cell
E_tot = -2.960 eV/atom
crystal system = tetragonal

***

The following is a DFT calculation (PBE) of a relaxed structure of TiBe4Ni.

a = 3.288 Å, b = 5.296 Å, c = 7.204 Å
α = 90.00°, β = 103.19°, γ = 90.00°
Element x y z (fractional)
Ti 0.109 0.250 0.218
Ti 0.891 0.750 0.782
Be 0.500 0.500 0.000
Be 0.500 0.000 0.000
Be 0.663 0.946 0.326
Be 0.337 0.054 0.674
Be 0.337 0.446 0.674
Be 0.663 0.554 0.326
Be 0.074 0.750 0.147
Be 0.926 0.250 0.853
Ni 0.231 0.750 0.462
Ni 0.769 0.250 0.538

space group = No. 63
distance to the lowest polymorph of the same formula = 96.4 meV/atom
DOS at the Fermi energy = 5.01 states/eV/cell
E_tot = -4.903 eV/atom
crystal system = orthorhombic

***

Formation energy readings, ordered: 0.00; -0.27; 0.29; -0.14 eV/atom
Magnetic moment readings, ordered: 0.00; 0.21; 0.00; 0.00 μB per formula unit